DFT (GGA-PBE) results for crystalline ErCuNi at its relaxed geometry.

```
ErCuNi
1.0
0.000 3.110 3.110
3.110 0.000 3.110
3.110 3.110 0.000
Cu Er Ni
1 1 1
Cartesian
1.555 1.555 1.555
0.000 0.000 0.000
4.666 4.666 4.666
```

Values from the calculation:
Energy relative to the elements   0.98 eV per formula unit
Total moment   0.00 μB per formula unit
SG   F-43m, No. 216
Crystal system   cubic